(1)
Below is ScCd5 at its PBEsol-relaxed geometry, with properties calculated at the SCAN level.

Computed properties:
Spin magnetization ... 0.57 Bohr magnetons per cell
SG ... No. 123
Calculated formation energy ... -0.140 eV/atom
E_tot ... -27.858 eV per atom

a = 3.1530 Å, b = 3.1530 Å, c = 12.4024 Å
α = 90.00°, β = 90.00°, γ = 90.00°
Last column: nearest neighbours and their distance in Å.
Element x y z (fractional)
Sc: 0.5000 0.5000 0.5000  8 Cd 3.05, 4 Sc 3.15
Cd: 0.0000 0.0000 0.6675  8 Cd 3.03-3.15, 4 Sc 3.05
Cd: 0.5000 0.5000 0.8328  12 Cd 3.03-3.15
Cd: 0.0000 0.0000 0.0000  12 Cd 3.04-3.15
Cd: 0.5000 0.5000 0.1672  12 Cd 3.03-3.15
Cd: 0.0000 0.0000 0.3325  8 Cd 3.03-3.15, 4 Sc 3.05

***

(2)
Below is Hg4Pb at its PBEsol-relaxed geometry, with properties calculated at the SCAN level.

Computed properties:
Spin magnetization ... 0.00 Bohr magnetons per cell
Excess energy over the best structure of this formula in the dataset ... 9.9 kJ/mol of atoms
SG ... No. 229
Calculated formation energy ... 0.145 eV/atom
E_tot ... -69.544 eV per atom

a = 5.9886 Å, b = 5.9886 Å, c = 5.9886 Å
α = 109.47°, β = 109.47°, γ = 109.47°
Last column: nearest neighbours and their distance in Å.
Element x y z (fractional)
Hg: 0.0000 0.0000 0.5000  2 Pb 2.99
Hg: 0.0000 0.5000 0.0000  2 Pb 2.99
Hg: 0.5000 0.0000 0.0000  2 Pb 2.99
Hg: 0.5000 0.5000 0.5000  2 Pb 2.99
Pb: 0.0000 0.0000 0.0000  8 Hg 2.99

***

(3)
Below is Y2Mg3Cu2 at its PBEsol-relaxed geometry, with properties calculated at the SCAN level.

Computed properties:
Spin magnetization ... 0.23 Bohr magnetons per cell
SG ... No. 65
Calculated formation energy ... -0.207 eV/atom
E_tot ... -14.636 eV per atom

a = 3.4709 Å, b = 4.2719 Å, c = 10.3907 Å
α = 101.86°, β = 90.00°, γ = 90.00°
Last column: nearest neighbours and their distance in Å.
Element x y z (fractional)
Cu: 0.5000 0.7147 0.4294  2 Cu 2.57, 1 Mg 2.76, 6 Y 2.85-2.87
Cu: 0.5000 0.2853 0.5706  2 Cu 2.57, 1 Mg 2.76, 6 Y 2.85-2.87
Mg: 0.5000 0.5788 0.1577  1 Cu 2.76
Mg: 0.5000 0.4212 0.8423  1 Cu 2.76
Mg: 0.0000 0.0000 0.0000  10 Mg 3.19-3.47, 2 Y 3.54
Y: 0.0000 0.8258 0.6515  6 Cu 2.85-2.87
Y: 0.0000 0.1742 0.3485  6 Cu 2.85-2.87

***

(4)
Below is Al2SiCl at its PBEsol-relaxed geometry, with properties calculated at the SCAN level.

Computed properties:
Spin magnetization ... 0.00 Bohr magnetons per cell
Excess energy over the best structure of this formula in the dataset ... 0.4 kJ/mol of atoms
SG ... No. 99
E_tot ... -8.315 eV per atom

a = 2.9039 Å, b = 2.9039 Å, c = 8.6992 Å
α = 90.00°, β = 90.00°, γ = 90.00°
Last column: nearest neighbours and their distance in Å.
Element x y z (fractional)
Si: 0.5000 0.5000 0.8066  4 Al 2.76, 4 Si 2.90
Al: 0.0000 0.0000 0.0181  4 Si 2.76, 8 Al 2.85-2.90
Al: 0.5000 0.5000 0.2446  4 Cl 2.61, 8 Al 2.85-2.90
Cl: 0.0000 0.0000 0.4306  4 Al 2.61, 4 Cl 2.90

***

(5)
Below is Cu2POs at its PBEsol-relaxed geometry, with properties calculated at the SCAN level.

Computed properties:
Spin magnetization ... 0.00 Bohr magnetons per cell
SG ... No. 65
Calculated formation energy ... 0.271 eV/atom
E_tot ... -27.899 eV per atom

a = 2.8261 Å, b = 4.4704 Å, c = 4.4704 Å
α = 116.85°, β = 90.00°, γ = 90.00°
Last column: nearest neighbours and their distance in Å.
Element x y z (fractional)
Cu: 0.0000 0.5000 0.0000  2 Cu 2.34
Cu: 0.0000 0.0000 0.5000  2 Cu 2.34
Os: 0.5000 0.0000 0.0000  2 P 2.34
P: 0.5000 0.5000 0.5000  2 Os 2.34

***

(6)
Below is V3O7 at its PBEsol-relaxed geometry, with properties calculated at the SCAN level.

Computed properties:
Spin magnetization ... 0.43 Bohr magnetons per cell
Excess energy over the best structure of this formula in the dataset ... 1.8 kJ/mol of atoms
SG ... No. 15
E_tot ... -12.128 eV per atom

a = 3.5936 Å, b = 11.1437 Å, c = 18.2695 Å
α = 96.79°, β = 90.00°, γ = 99.28°
Last column: nearest neighbours and their distance in Å.
Element x y z (fractional)
V: 0.7830 0.0669 0.4480  2 O 1.65-1.74
V: 0.2170 0.9331 0.5520  2 O 1.65-1.74
V: 0.0462 0.6153 0.5613  5 O 1.76-1.96
V: 0.7161 0.9331 0.0520  2 O 1.65-1.74
V: 0.0880 0.6748 0.7487  2 O 1.64-1.70
V: 0.5868 0.6748 0.2487  2 O 1.64-1.70
V: 0.2505 0.0000 0.7500  6 O 1.80-2.01
V: 0.0800 0.6601 0.3789  2 O 1.59-1.75
V: 0.5691 0.6153 0.0613  5 O 1.76-1.96
V: 0.4132 0.3252 0.7513  2 O 1.64-1.70
V: 0.5801 0.6601 0.8789  2 O 1.59-1.75
V: 0.2839 0.0669 0.9480  2 O 1.65-1.74
V: 0.9120 0.3252 0.2513  2 O 1.64-1.70
V: 0.9538 0.3847 0.4387  5 O 1.76-1.96
V: 0.4309 0.3847 0.9387  5 O 1.76-1.96
V: 0.9200 0.3399 0.6211  2 O 1.59-1.75
V: 0.7495 0.0000 0.2500  6 O 1.80-2.01
V: 0.4199 0.3399 0.1211  2 O 1.59-1.75
O: 0.8629 0.2226 0.4377  2 V 1.74-1.78
O: 0.7544 0.0095 0.3603  1 V 1.65
O: 0.9273 0.3542 0.7299  3 V 1.87-1.97
O: 0.0378 0.5749 0.4541  2 V 1.75-1.96
O: 0.5502 0.5994 0.1616  2 V 1.70-1.86
O: 0.5658 0.6321 0.3499  3 V 1.89-1.96
O: 0.9622 0.4251 0.5459  2 V 1.75-1.96
O: 0.9337 0.3679 0.1501  3 V 1.89-1.96
O: 0.8388 0.1778 0.2587  1 V 1.64
O: 0.9508 0.4006 0.3384  2 V 1.70-1.86
O: 0.2498 0.0000 0.2500  2 V 1.80
O: 0.9435 0.3903 0.9397  2 V 1.76-1.83
O: 0.5731 0.6458 0.7701  3 V 1.87-1.97
O: 0.1371 0.7774 0.5623  2 V 1.74-1.78
O: 0.3598 0.2226 0.9377  2 V 1.74-1.78
O: 0.8509 0.2003 0.5856  1 V 1.59
O: 0.1491 0.7997 0.4144  1 V 1.59
O: 0.5532 0.6097 0.5603  2 V 1.76-1.83
O: 0.3390 0.1778 0.7587  1 V 1.64
O: 0.4269 0.3542 0.2299  3 V 1.87-1.97
O: 0.7502 0.0000 0.7500  2 V 1.80
O: 0.2551 0.0095 0.8603  1 V 1.65
O: 0.7217 0.9434 0.5208  3 V 1.89-2.01
O: 0.2456 0.9905 0.6397  1 V 1.65
O: 0.0663 0.6321 0.8499  3 V 1.89-1.96
O: 0.5371 0.5749 0.9541  2 V 1.75-1.96
O: 0.4498 0.4006 0.8384  2 V 1.70-1.86
O: 0.4342 0.3679 0.6501  3 V 1.89-1.96
O: 0.6610 0.8222 0.2413  1 V 1.64
O: 0.6506 0.7997 0.9144  1 V 1.59
O: 0.2216 0.9434 0.0208  3 V 1.89-2.01
O: 0.0727 0.6458 0.2701  3 V 1.87-1.97
O: 0.4629 0.4251 0.0459  2 V 1.75-1.96
O: 0.4468 0.3903 0.4397  2 V 1.76-1.83
O: 0.2783 0.0566 0.4792  3 V 1.89-2.01
O: 0.6402 0.7774 0.0623  2 V 1.74-1.78
O: 0.7784 0.0566 0.9792  3 V 1.89-2.01
O: 0.0565 0.6097 0.0603  2 V 1.76-1.83
O: 0.7449 0.9905 0.1397  1 V 1.65
O: 0.3494 0.2003 0.0856  1 V 1.59
O: 0.0492 0.5994 0.6616  2 V 1.70-1.86
O: 0.1612 0.8222 0.7413  1 V 1.64